The following is a DFT calculation (PBE-GGA) of a relaxed structure of K2MnIr.

The structure in extended XYZ format:
```
4
Lattice="-5.039 0.883 0.154 -0.765 -3.726 -3.424 2.564 -0.977 4.321" Properties=species:S:1:pos:R:3 pbc="T T T"
K -0.552 -3.062 -0.369
Mn -2.902 -1.421 -1.635
Ir -2.689 -0.758 1.420
K 0.000 0.000 0.000
```

Energy relative to the elements   934 meV per atom
Crystal system   cubic
Mass density   5.70 Mg/m³
Excess energy over the best structure of this formula in the dataset   500 meV per atom